A relaxed structure of MnV8, computed with PBE.

The structure belongs to space group I4/mmm (No. 139); the cell edges are 8.932, 8.932 and 2.950 Å and the angles 90.00°, 90.00° and 90.00°. The inequivalent atoms are Mn at (0.000, 0.000, 0.000), V at (0.000, 0.333, 0.000) and V at (0.162, 0.162, 0.500).

The calculation puts the total energy at -165.515 eV/cell.

A relaxed structure of Ca3Tl3Pb, computed with PBE.

The structure belongs to space group C2/m (No. 12); the cell edges are 10.836, 10.705 and 7.500 Å and the angles 90.00°, 90.37° and 90.00°. The inequivalent atoms are Ca at (0.004, 0.000, 0.251), Ca at (0.249, 0.258, 0.254), Tl at (0.000, 0.254, 0.500), Tl at (0.000, 0.312, 0.000), Tl at (0.171, 0.500, 0.526) and Pb at (0.240, 0.500, 0.989).

The calculation puts the total energy at -76.667 eV/cell.

A relaxed structure of Ce2DyHg4Pb, computed with PBE.

The structure belongs to space group R-3m (No. 166, hexagonal axes); the cell edges are 5.3087, 5.3087 and 26.6896 Å and the angles 90.00°, 90.00° and 120.00°. The inequivalent atoms are Ce at (0.0000, 0.0000, 0.2412), Dy at (0.0000, 0.0000, 0.0000), Hg at (0.0000, 0.0000, 0.1177), Hg at (0.0000, 0.0000, 0.3661) and Pb at (0.0000, 0.0000, 0.5000).

The calculation puts the total energy at -72.730 eV/cell.

A relaxed structure of CrMo2Ir, computed with PBE.

The structure belongs to space group P2/m (No. 10); the cell edges are 2.720, 3.972 and 5.456 Å and the angles 90.00°, 97.54° and 90.00°. The inequivalent atoms are Cr at (0.000, 0.000, 0.000), Mo at (0.420, 0.500, 0.239) and Ir at (0.000, 0.000, 0.500).

The calculation puts the total energy at -40.027 eV/cell.

A relaxed structure of Y2ThNpP4, computed with PBE.

The structure belongs to space group P2/m (No. 10); the cell edges are 6.993, 4.042 and 6.993 Å and the angles 90.00°, 109.52° and 90.00°. The inequivalent atoms are Y at (0.000, 0.000, 0.000), Y at (0.000, 0.500, 0.500), Th at (0.500, 0.000, 0.500), Np at (0.500, 0.500, 0.000), P at (0.247, 0.500, 0.244) and P at (0.252, 0.000, 0.756).

The calculation puts the total energy at -66.257 eV/cell.

A relaxed structure of HoU3Pt12, computed with PBE.

The structure belongs to space group P4/mmm (No. 123); the cell edges are 4.148, 4.148 and 16.574 Å and the angles 90.00°, 90.00° and 90.00°. The inequivalent atoms are Ho at (0.000, 0.000, 0.000), U at (0.000, 0.000, 0.247), U at (0.000, 0.000, 0.500), Pt at (0.000, 0.500, 0.125), Pt at (0.000, 0.500, 0.374), Pt at (0.500, 0.500, 0.000), Pt at (0.500, 0.500, 0.249) and Pt at (0.500, 0.500, 0.500).

The calculation puts the total energy at -124.138 eV/cell.

no.,DOS at the Fermi energy (states/eV/f.u.)
1,14.8
2,3.3
3,18.3
4,4.5
5,11.4
6,19.9